Rb2NpF7, optimized geometry, DFT GGA-PBE; V = 229 Å³/cell; SG = Fm-3m (225); ΔE to the lowest computed polymorph = 276 meV per atom; E_form (uncorrected) = -2.8627 eV per atom
1.0
-6.864 0.089 0.083
-3.521 -1.457 -5.711
-3.515 -5.879 -0.460
Rb Np F
2 1 7
Direct
0.250 0.250 0.250 Rb
0.750 0.750 0.750 Rb
0.000 0.000 0.000 Np
0.500 0.500 0.500 F
0.215 0.785 0.785 F
0.215 0.785 0.215 F
0.785 0.215 0.785 F
0.785 0.785 0.215 F
0.215 0.215 0.785 F
0.785 0.215 0.215 F